Entry 1:
DFT (PBE) results for a geometry-optimized Ca2ThZrN4 structure.

The structure in extended XYZ format:
```
8
Lattice="6.058 0.000 0.000 0.000 3.503 0.000 -2.019 0.000 5.742" Properties=species:S:1:pos:R:3 pbc="T T T"
Ca 0.000 0.000 0.000
Ca -1.009 1.751 2.871
Th 2.020 0.000 2.871
Zr 3.029 1.751 0.000
N 1.212 1.751 1.383
N 0.143 0.000 4.428
N 3.896 0.000 1.314
N 2.827 1.751 4.358
```

Summary:
SG: P2/m, No. 10
Formation energy without anion corrections (meV/atom): -1409.3

---

Entry 2:
DFT (PBE) results for a geometry-optimized Dy2VCo structure.

The structure in extended XYZ format:
```
4
Lattice="1.703 0.983 9.406 -1.703 0.983 9.406 0.000 -1.966 9.406" Properties=species:S:1:pos:R:3 pbc="T T T"
Dy 0.000 0.000 2.933
Dy 0.000 0.000 25.284
V 0.000 0.000 0.000
Co 0.000 0.000 14.109
```

Summary:
SG: R-3m, No. 166
Formation enthalpy at 0 K (eV/atom): 0.629

---

Entry 3:
DFT (PBE) results for a geometry-optimized PaAl5Ni structure.

The structure in extended XYZ format:
```
7
Lattice="4.254 0.000 0.000 0.000 4.254 0.000 0.000 0.000 6.883" Properties=species:S:1:pos:R:3 pbc="T T T"
Pa 0.000 0.000 0.000
Al 0.000 2.127 2.116
Al 0.000 2.127 4.767
Al 2.127 0.000 2.116
Al 2.127 0.000 4.767
Al 2.127 2.127 0.000
Ni 0.000 0.000 3.442
```

Summary:
SG: P4/mmm, No. 123
Formation enthalpy at 0 K (eV/atom): -0.379

---

Entry 4:
DFT (PBE) results for a geometry-optimized AlSb2TeIr structure.

The structure in extended XYZ format:
```
5
Lattice="5.050 0.000 0.000 0.000 5.050 0.000 0.000 0.000 5.803" Properties=species:S:1:pos:R:3 pbc="T T T"
Al 0.000 0.000 0.000
Sb 0.000 2.525 2.901
Sb 2.525 0.000 2.901
Te 2.525 2.525 0.000
Ir 2.525 2.525 2.901
```

Summary:
SG: P4/mmm, No. 123
Formation energy without anion corrections (meV/atom): 560.4
ΔE to the lowest computed polymorph (meV/atom): 0

---

Entry 5:
DFT (PBE) results for a geometry-optimized Tb2NdZn structure.

The structure in extended XYZ format:
```
4
Lattice="1.816 1.049 10.372 -1.816 1.049 10.372 0.000 -2.097 10.372" Properties=species:S:1:pos:R:3 pbc="T T T"
Tb 0.000 0.000 0.000
Tb 0.000 0.000 5.994
Nd 0.000 0.000 13.385
Zn 0.000 0.000 18.546
```

Summary:
SG: R3m, No. 160
Formation enthalpy at 0 K (eV/atom): -0.052
ΔE to the lowest computed polymorph (meV/atom): 110

---

Entry 6:
DFT (PBE) results for a geometry-optimized Pm2YAl6 structure.

The structure in extended XYZ format:
```
9
Lattice="7.954 0.000 0.000 -3.977 6.889 0.000 0.000 0.000 3.603" Properties=species:S:1:pos:R:3 pbc="T T T"
Pm 0.000 4.592 0.000
Pm 3.977 2.296 0.000
Y 0.000 0.000 0.000
Al -1.320 2.286 1.802
Al -2.657 4.602 1.802
Al 2.640 0.000 1.802
Al 1.320 2.286 1.802
Al 5.314 0.000 1.802
Al 2.657 4.602 1.802
```

Summary:
SG: P6/mmm, No. 191
Formation enthalpy at 0 K (eV/atom): -0.490